An optimized crystal structure of TlOsRu2. Source: the Alexandria database, functional PBE.

abc: 2.8548 2.8548 7.8814
angles: 90.00 90.00 90.00
With the nearest neighbours (Å) after each atom.
Positions (direct):
Tl 0.0000 0.0000 0.0000  4 Tl 2.85, 4 Ru 2.94, 4 Os 3.01
Os 0.5000 0.5000 0.2833  4 Ru 2.66, 4 Os 2.85
Ru 0.0000 0.0000 0.5022  4 Os 2.66, 8 Ru 2.69-2.85
Ru 0.5000 0.5000 0.7281  8 Ru 2.69-2.85, 4 Tl 2.94

Properties
crystal system	tetragonal
final energy	-7.47	eV/atom
spin magnetization	0.0	μB/f.u.

An optimized crystal structure of K5Zn2S5. Source: the Alexandria database, functional PBE.

abc: 7.6172 7.6172 11.2091
angles: 102.66 102.66 29.84
With the nearest neighbours (Å) after each atom.
Positions (direct):
K 0.0000 0.0000 0.0000  6 S 3.22-3.38
K 0.1586 0.1586 0.5880  3 S 3.04-3.27, 1 K 3.28
K 0.2801 0.2801 0.8721  5 S 3.16-3.18, 1 K 3.28
K 0.7199 0.7199 0.1279  5 S 3.16-3.18, 1 K 3.28
K 0.8414 0.8414 0.4120  3 S 3.04-3.27, 1 K 3.28
Zn 0.4652 0.4652 0.6998  4 S 2.37-2.43
Zn 0.5348 0.5348 0.3002  4 S 2.37-2.43
S 0.1300 0.1300 0.2899  2 Zn 2.43
S 0.3929 0.3929 0.1502  1 Zn 2.37
S 0.5000 0.5000 0.5000  2 Zn 2.41
S 0.6071 0.6071 0.8498  1 Zn 2.37
S 0.8700 0.8700 0.7101  2 Zn 2.43

Properties
crystal system	monoclinic
final energy	-3.29	eV/atom
spin magnetization	0.9	μB/f.u.

An optimized crystal structure of HfCoSn. Source: the Alexandria database, functional PBE.

abc: 7.1200 7.1200 3.5591
angles: 90.00 90.00 120.00
With the nearest neighbours (Å) after each atom.
Positions (direct):
Hf 0.0000 0.3975 0.0000  5 Co 2.81-2.83, 6 Sn 2.98-3.07
Hf 0.3975 0.0000 0.0000  5 Co 2.81-2.83, 6 Sn 2.98-3.07
Hf 0.6025 0.6025 0.0000  5 Co 2.81-2.83, 6 Sn 2.98-3.07
Co 0.0000 0.0000 0.0000  6 Sn 2.60, 3 Hf 2.83
Co 0.3333 0.6667 0.5000  3 Sn 2.64, 6 Hf 2.81
Co 0.6667 0.3333 0.5000  3 Sn 2.64, 6 Hf 2.81
Sn 0.0000 0.7338 0.5000  4 Co 2.60-2.64
Sn 0.2662 0.2662 0.5000  4 Co 2.60-2.64
Sn 0.7338 0.0000 0.5000  4 Co 2.60-2.64

Properties
crystal system	hexagonal
final energy	-7.46	eV/atom
spin magnetization	0.0	μB/f.u.

An optimized crystal structure of Na2TiCu. Source: the Alexandria database, functional PBE.

abc: 4.8712 4.8712 4.8712
angles: 60.00 60.00 60.00
With the nearest neighbours (Å) after each atom.
Positions (direct):
Na 0.2500 0.2500 0.2500  4 Cu 2.98, 4 Ti 2.98
Na 0.7500 0.7500 0.7500  4 Cu 2.98, 4 Ti 2.98
Ti 0.0000 0.0000 0.0000  8 Na 2.98
Cu 0.5000 0.5000 0.5000  8 Na 2.98

Properties
crystal system	cubic
final energy	-2.72	eV/atom
spin magnetization	0.0	μB/f.u.

An optimized crystal structure of RbThB12. Source: the Alexandria database, functional PBE.

abc: 5.9090 5.9090 5.9090
angles: 60.00 60.00 60.00
With the nearest neighbours (Å) after each atom.
Positions (direct):
Rb 0.0000 0.0000 0.0000  24 B 3.07
Th 0.5000 0.5000 0.5000  24 B 3.07
B 0.1006 0.1006 0.3994  5 B 1.68-1.77
B 0.1006 0.3994 0.1006  5 B 1.68-1.77
B 0.1006 0.3994 0.3994  5 B 1.68-1.77
B 0.3994 0.1006 0.1006  5 B 1.68-1.77
B 0.3994 0.1006 0.3994  5 B 1.68-1.77
B 0.3994 0.3994 0.1006  5 B 1.68-1.77
B 0.6006 0.6006 0.8994  5 B 1.68-1.77
B 0.6006 0.8994 0.6006  5 B 1.68-1.77
B 0.6006 0.8994 0.8994  5 B 1.68-1.77
B 0.8994 0.6006 0.6006  5 B 1.68-1.77
B 0.8994 0.6006 0.8994  5 B 1.68-1.77
B 0.8994 0.8994 0.6006  5 B 1.68-1.77

Properties
crystal system	cubic
final energy	-6.63	eV/atom
spin magnetization	0.0	μB/f.u.

An optimized crystal structure of Dy4Al3Cu. Source: the Alexandria database, functional PBE.

abc: 3.4340 3.4340 15.4452
angles: 90.00 90.00 90.00
With the nearest neighbours (Å) after each atom.
Positions (direct):
Dy 0.0000 0.0000 0.1140  4 Cu 3.00, 4 Al 3.12
Dy 0.0000 0.0000 0.3709  8 Al 3.14-3.15, 4 Dy 3.43
Dy 0.0000 0.0000 0.6291  8 Al 3.14-3.15, 4 Dy 3.43
Dy 0.0000 0.0000 0.8860  4 Cu 3.00, 4 Al 3.12
Al 0.5000 0.5000 0.2414  8 Dy 3.12-3.15, 4 Al 3.43
Al 0.5000 0.5000 0.5000  8 Dy 3.14, 4 Al 3.43
Al 0.5000 0.5000 0.7586  8 Dy 3.12-3.15, 4 Al 3.43
Cu 0.5000 0.5000 0.0000  8 Dy 3.00

Properties
crystal system	tetragonal
final energy	-4.57	eV/atom
spin magnetization	0.0	μB/f.u.

An optimized crystal structure of BaTa2W. Source: the Alexandria database, functional PBE.

abc: 4.9027 4.9027 4.9027
angles: 60.00 60.00 60.00
With the nearest neighbours (Å) after each atom.
Positions (direct):
Ba 0.0000 0.0000 0.0000  8 Ta 3.00
Ta 0.2500 0.2500 0.2500  4 Ba 3.00, 4 W 3.00
Ta 0.7500 0.7500 0.7500  4 Ba 3.00, 4 W 3.00
W 0.5000 0.5000 0.5000  8 Ta 3.00

Properties
crystal system	cubic
final energy	-8.40	eV/atom
spin magnetization	0.0	μB/f.u.

An optimized crystal structure of CdAgI. Source: the Alexandria database, functional PBE.

abc: 12.1159 4.3177 4.3177
angles: 60.29 90.00 90.00
With the nearest neighbours (Å) after each atom.
Positions (direct):
Cd 0.0000 0.0000 0.0000  6 I 3.97-4.04, 6 Cd 4.32-4.34
Cd 0.5000 0.0148 0.0148  6 Ag 2.89
Ag 0.3801 0.6802 0.6802  3 Cd 2.89, 1 Ag 2.90, 3 I 2.91
Ag 0.6199 0.6802 0.6802  3 Cd 2.89, 1 Ag 2.90, 3 I 2.91
I 0.2570 0.3457 0.3457  3 Ag 2.91
I 0.7430 0.3457 0.3457  3 Ag 2.91

Properties
crystal system	orthorhombic
final energy	-1.84	eV/atom
spin magnetization	0.0	μB/f.u.